No. 1
DFT (GGA-PBE) results for crystalline KLa3V at its relaxed geometry.

Calculated values
Crystal system: cubic
Calculated volume, Å³ per cell: 185
Energy relative to the lowest polymorph listed for this composition, meV/atom: 0
Formation energy, eV/atom: 0.4623

abc: 5.696 5.696 5.696
angles: 90.00 90.00 90.00
Last column: magnetic moment on the atom in μB.
Sites, in units of the cell vectors:
V  0.000  0.000  0.000  0.36
La  0.000  0.500  0.000  0.04
La  0.500  0.000  0.000  0.04
La  0.000  0.000  0.500  0.04
K  0.500  0.500  0.500  0.01

No. 2
DFT (GGA-PBE) results for crystalline KLa2W at its relaxed geometry.

Calculated values
Crystal system: tetragonal
Calculated volume, Å³ per cell: 121
Energy relative to the lowest polymorph listed for this composition, meV/atom: 475
Formation energy, eV/atom: 0.9627

abc: 3.117 3.117 12.497
angles: 90.00 90.00 90.00
Sites, in units of the cell vectors:
La  0.500  0.500  0.291
K  0.500  0.500  0.711
W  0.000  0.000  0.478
La  0.000  0.000  0.020

No. 3
DFT (GGA-PBE) results for crystalline KLa2W at its relaxed geometry.

Calculated values
Crystal system: monoclinic
Calculated volume, Å³ per cell: 144
Energy relative to the lowest polymorph listed for this composition, meV/atom: 0
Formation energy, eV/atom: 0.4876

abc: 3.607 3.606 11.622
angles: 72.14 90.00 90.00
Sites, in units of the cell vectors:
K  0.500  0.750  0.750
La  0.000  0.918  0.088
W  0.500  0.250  0.250
La  0.000  0.582  0.412

No. 4
DFT (GGA-PBE) results for crystalline K3LaW at its relaxed geometry.

Calculated values
Crystal system: cubic
Calculated volume, Å³ per cell: 194
Energy relative to the lowest polymorph listed for this composition, meV/atom: 0
Formation energy, eV/atom: 2.1064

abc: 5.785 5.785 5.785
angles: 90.00 90.00 90.00
Sites, in units of the cell vectors:
W  0.000  0.000  0.000
K  0.000  0.000  0.500
K  0.500  0.000  0.000
K  0.000  0.500  0.000
La  0.500  0.500  0.500